The following is a GGA+U calculation of a geometry-optimized Sr4Cr6F19 structure, from Alexandria via LeMat-Bulk.

Cell lengths 7.974, 8.073, 8.147 Å; angles 108.54, 107.01, 108.17 degrees
Fractional positions:
1 Sr 0.000 0.000 0.000
2 Sr 0.001 0.295 0.655
3 Sr 0.325 0.976 0.690
4 Sr 0.701 0.691 0.385
5 Cr 0.200 0.523 0.369
6 Cr 0.315 0.813 0.164
7 Cr 0.490 0.302 0.517
8 Cr 0.525 0.654 0.873
9 Cr 0.667 0.160 0.194
10 Cr 0.858 0.484 0.003
11 F 0.003 0.262 0.314
12 F 0.003 0.601 0.876
13 F 0.033 0.668 0.398
14 F 0.225 0.005 0.301
15 F 0.268 0.619 0.693
16 F 0.316 0.028 0.995
17 F 0.318 0.286 0.666
18 F 0.374 0.395 0.325
19 F 0.416 0.611 0.059
20 F 0.432 0.779 0.465
21 F 0.635 0.221 0.695
22 F 0.646 0.982 0.945
23 F 0.664 0.366 0.097
24 F 0.668 0.667 0.703
25 F 0.720 0.004 0.348
26 F 0.722 0.369 0.448
27 F 0.787 0.712 0.073
28 F 0.990 0.981 0.674
29 F 0.995 0.306 0.979

**Raw total energy**: -5.9997 eV/atom
**Crystal system**: triclinic